Entry from Alexandria via LeMat-Bulk: a geometry-optimized Pu2Tl4S5 structure (GGA-PBE).

Computed properties:
total magnetic moment = 10.66 μB/f.u.
formation energy (no corrections) = -814 meV per atom
mass density = 7.6 g cm⁻³
E = -203.165 eV per cell

abc: 4.0709 4.0709 67.2677
angles: 90.00 90.00 120.00
Space group R-3m (No. 166, hexagonal axes)
Inequivalent atoms, fractional coordinates:
Pu 0.0000 0.0000 0.1419
Tl 0.0000 0.0000 0.3126
Tl 0.0000 0.0000 0.4166
S 0.0000 0.0000 0.2115
S 0.0000 0.0000 0.3761
S 0.0000 0.0000 0.5000